TaH3Pb: relaxed, PBE.

## Properties
* V: 55.5 Å³ per cell
* polymorph energy (0 for the lowest one): 0.0 kJ per mole of atoms

Unit cell a=3.8155 b=3.8155 c=3.8155 alpha=90.00 beta=90.00 gamma=90.00
Space group Pm-3m (No. 221)
Unique sites:
Ta 0.0000 0.0000 0.0000 x1
H 0.0000 0.0000 0.5000 x3
Pb 0.5000 0.5000 0.5000 x1